# Hf2In2Tc

An optimized crystal structure of Hf2In2Tc (PBE-GGA, the Alexandria database).

```
10
Lattice="7.219 0.000 0.000 0.000 7.219 0.000 0.000 0.000 3.933" Properties=species:S:1:pos:R:3 pbc="T T T"
Hf 1.238 2.372 0.000
Hf 2.372 5.981 0.000
Hf 4.847 1.238 0.000
Hf 5.981 4.847 0.000
In 0.975 4.585 1.966
In 2.634 0.975 1.966
In 4.585 6.243 1.966
In 6.243 2.634 1.966
Tc 0.000 0.000 1.966
Tc 3.609 3.609 1.966
```

* calculated total energy: -70.5 eV/cell
* crystal system: tetragonal

=====

# Hf5InTc4

An optimized crystal structure of Hf5InTc4 (PBE-GGA, the Alexandria database).

```
10
Lattice="3.307 0.000 0.000 0.000 3.307 0.000 0.000 0.000 16.798" Properties=species:S:1:pos:R:3 pbc="T T T"
Hf 0.000 0.000 0.000
Hf 0.000 0.000 3.213
Hf 0.000 0.000 6.359
Hf 0.000 0.000 10.439
Hf 0.000 0.000 13.585
In 1.654 1.654 8.399
Tc 1.654 1.654 1.631
Tc 1.654 1.654 4.929
Tc 1.654 1.654 11.869
Tc 1.654 1.654 15.167
```

* calculated total energy: -98.5 eV/cell
* crystal system: tetragonal

=====

# Hf4In2Tc

An optimized crystal structure of Hf4In2Tc (PBE-GGA, the Alexandria database).

```
7
Lattice="-2.433 2.433 7.560 2.433 -2.433 7.560 2.433 2.433 -7.560" Properties=species:S:1:pos:R:3 pbc="T T T"
Hf 2.433 0.000 0.000
Hf 0.000 0.000 2.585
Hf 0.000 2.433 0.000
Hf 0.000 0.000 12.535
In 0.000 0.000 5.491
In 0.000 0.000 9.629
Tc 0.000 0.000 0.000
```

* calculated total energy: -52.7 eV/cell
* crystal system: tetragonal

=====

# Hf4In3Tc

An optimized crystal structure of Hf4In3Tc (PBE-GGA, the Alexandria database).

```
8
Lattice="3.219 0.000 0.000 0.000 3.219 0.000 0.000 0.000 16.156" Properties=species:S:1:pos:R:3 pbc="T T T"
Hf 0.000 0.000 1.581
Hf 0.000 0.000 5.923
Hf 0.000 0.000 10.233
Hf 0.000 0.000 14.575
In 1.609 1.609 3.822
In 1.609 1.609 8.078
In 1.609 1.609 12.334
Tc 1.609 1.609 0.000
```

* calculated total energy: -60.3 eV/cell
* crystal system: tetragonal

=====

# HfInTc4

An optimized crystal structure of HfInTc4 (PBE-GGA, the Alexandria database).

```
6
Lattice="0.000 3.703 3.703 3.703 0.000 3.703 3.703 3.703 0.000" Properties=species:S:1:pos:R:3 pbc="T T T"
Hf 0.000 0.000 0.000
In 5.554 5.554 5.554
Tc 2.780 2.780 2.780
Tc 4.626 4.626 2.780
Tc 4.626 2.780 4.626
Tc 2.780 4.626 4.626
```

* calculated total energy: -54.5 eV/cell
* crystal system: cubic

=====

# HfInTc

An optimized crystal structure of HfInTc (PBE-GGA, the Alexandria database).

```
6
Lattice="2.213 1.278 8.130 -2.213 1.278 8.130 0.000 -2.556 8.130" Properties=species:S:1:pos:R:3 pbc="T T T"
Hf 0.000 0.000 2.186
Hf 0.000 0.000 22.204
In 0.000 0.000 7.534
In 0.000 0.000 16.856
Tc 0.000 0.000 4.619
Tc 0.000 0.000 19.771
```

* calculated total energy: -43.6 eV/cell
* crystal system: trigonal

=====

Number 1: energy of formation 0.097 eV/atom. Number 2: energy of formation -0.454 eV/atom. Number 3: energy of formation 0.422 eV/atom. Number 4: energy of formation -0.240 eV/atom. Number 5: energy of formation -0.061 eV/atom. Number 6: energy of formation 0.412 eV/atom.